Entry from Alexandria via LeMat-Bulk: crystalline H2SeF6 at its relaxed geometry (PBE).

Computed properties:
The total DFT energy (no corrections) comes out at -4.01 eV per atom.

Unit cell a=4.7243 b=7.6425 c=7.8439 alpha=75.61 beta=74.16 gamma=73.32
Atoms (fractional coordinates):
H (0.0816, 0.1948, 0.1853)
H (0.4179, 0.7934, 0.8306)
H (0.5821, 0.2066, 0.1694)
H (0.9184, 0.8052, 0.8147)
Se (0.2484, 0.7482, 0.2640)
Se (0.7516, 0.2518, 0.7360)
F (0.1426, 0.1539, 0.6277)
F (0.1604, 0.5347, 0.2987)
F (0.2206, 0.7689, 0.8916)
F (0.2745, 0.1351, 0.2194)
F (0.3421, 0.7128, 0.4710)
F (0.3595, 0.3652, 0.8303)
F (0.6405, 0.6348, 0.1697)
F (0.6579, 0.2872, 0.5290)
F (0.7255, 0.8649, 0.7806)
F (0.7794, 0.2311, 0.1084)
F (0.8396, 0.4653, 0.7013)
F (0.8574, 0.8461, 0.3723)

***

Entry from Alexandria via LeMat-Bulk: crystalline LiAcGdIr at its relaxed geometry (PBE).

Computed properties:
Its formation energy from the elements is -1.42 eV per formula unit.

Unit cell a=7.3192 b=7.3192 c=7.3192 alpha=90.00 beta=90.00 gamma=90.00
Atoms (fractional coordinates):
Li (0.0000, 0.0000, 0.0000)
Li (0.0000, 0.5000, 0.5000)
Li (0.5000, 0.0000, 0.5000)
Li (0.5000, 0.5000, 0.0000)
Ac (0.2500, 0.2500, 0.7500)
Ac (0.2500, 0.7500, 0.2500)
Ac (0.7500, 0.2500, 0.2500)
Ac (0.7500, 0.7500, 0.7500)
Gd (0.2500, 0.2500, 0.2500)
Gd (0.2500, 0.7500, 0.7500)
Gd (0.7500, 0.2500, 0.7500)
Gd (0.7500, 0.7500, 0.2500)
Ir (0.0000, 0.0000, 0.5000)
Ir (0.0000, 0.5000, 0.0000)
Ir (0.5000, 0.0000, 0.0000)
Ir (0.5000, 0.5000, 0.5000)

***

Entry from Alexandria via LeMat-Bulk: crystalline NbHg2Br6 at its relaxed geometry (PBE).

Computed properties:
The total DFT energy (no corrections) comes out at -2.92 eV per atom.

Unit cell a=8.0058 b=8.0058 c=8.0058 alpha=58.47 beta=58.47 gamma=58.47
Atoms (fractional coordinates):
Nb (0.0000, 0.0000, 0.0000)
Hg (0.2026, 0.2026, 0.2026)
Hg (0.3408, 0.3408, 0.3408)
Br (0.2231, 0.2540, 0.7815)
Br (0.2491, 0.7936, 0.7638)
Br (0.2540, 0.7815, 0.2231)
Br (0.7638, 0.2491, 0.7936)
Br (0.7815, 0.2231, 0.2540)
Br (0.7936, 0.7638, 0.2491)

***

Entry from Alexandria via LeMat-Bulk: crystalline AlMo2OsRh at its relaxed geometry (PBE).

Computed properties:
Its formation energy from the elements is 7.72 eV per formula unit.

Unit cell a=4.6483 b=4.6483 c=4.3735 alpha=90.00 beta=90.00 gamma=90.00
Atoms (fractional coordinates):
Al (0.0000, 0.0000, 0.0000)
Mo (0.0000, 0.5000, 0.5000)
Mo (0.5000, 0.0000, 0.5000)
Os (0.5000, 0.5000, 0.0000)
Rh (0.0000, 0.0000, 0.5000)

***

Entry from Alexandria via LeMat-Bulk: crystalline LiBNF2 at its relaxed geometry (PBE).

Computed properties:
The total DFT energy (no corrections) comes out at -5.31 eV per atom.

Unit cell a=4.1049 b=4.1049 c=2.7719 alpha=90.00 beta=90.00 gamma=90.00
Atoms (fractional coordinates):
Li (0.0000, 0.0000, 0.0000)
B (0.5000, 0.5000, 0.5000)
N (0.5000, 0.5000, 0.0000)
F (0.0000, 0.5000, 0.5000)
F (0.5000, 0.0000, 0.5000)

***

Entry from Alexandria via LeMat-Bulk: crystalline LaHo2Pt at its relaxed geometry (PBE).

Computed properties:
Its formation energy from the elements is -2.23 eV per formula unit.

Unit cell a=3.9904 b=3.9904 c=27.2399 alpha=90.00 beta=90.00 gamma=120.00
Atoms (fractional coordinates):
La (0.0000, 0.0000, 0.0000)
La (0.3333, 0.6667, 0.6667)
La (0.6667, 0.3333, 0.3333)
Ho (0.0000, 0.0000, 0.2273)
Ho (0.0000, 0.0000, 0.4454)
Ho (0.3333, 0.6667, 0.1121)
Ho (0.3333, 0.6667, 0.8940)
Ho (0.6667, 0.3333, 0.5607)
Ho (0.6667, 0.3333, 0.7788)
Pt (0.0000, 0.0000, 0.8369)
Pt (0.3333, 0.6667, 0.5035)
Pt (0.6667, 0.3333, 0.1702)

***

Entry from Alexandria via LeMat-Bulk: crystalline Li2CdCu2Pd5 at its relaxed geometry (PBE).

Computed properties:
Its formation energy from the elements is -2.11 eV per formula unit.

Unit cell a=8.8698 b=8.8698 c=4.0886 alpha=90.00 beta=90.00 gamma=90.00
Atoms (fractional coordinates):
Li (0.1719, 0.3281, 0.0000)
Li (0.3281, 0.8281, 0.0000)
Li (0.6719, 0.1719, 0.0000)
Li (0.8281, 0.6719, 0.0000)
Cd (0.0000, 0.0000, 0.0000)
Cd (0.5000, 0.5000, 0.0000)
Cu (0.1220, 0.6220, 0.0000)
Cu (0.3780, 0.1220, 0.0000)
Cu (0.6220, 0.8780, 0.0000)
Cu (0.8780, 0.3780, 0.0000)
Pd (0.0000, 0.5000, 0.5000)
Pd (0.0794, 0.7965, 0.5000)
Pd (0.2035, 0.0794, 0.5000)
Pd (0.2965, 0.5794, 0.5000)
Pd (0.4206, 0.2965, 0.5000)
Pd (0.5000, 0.0000, 0.5000)
Pd (0.5794, 0.7035, 0.5000)
Pd (0.7035, 0.4206, 0.5000)
Pd (0.7965, 0.9206, 0.5000)
Pd (0.9206, 0.2035, 0.5000)

***

Entry from Alexandria via LeMat-Bulk: crystalline Sn2TeAs2 at its relaxed geometry (PBE).

Computed properties:
The total DFT energy (no corrections) comes out at -3.93 eV per atom.

Unit cell a=9.0941 b=9.0941 c=3.2088 alpha=90.00 beta=90.00 gamma=90.00
Atoms (fractional coordinates):
Sn (0.1772, 0.3228, 0.0000)
Sn (0.3228, 0.8228, 0.0000)
Sn (0.6772, 0.1772, 0.0000)
Sn (0.8228, 0.6772, 0.0000)
Te (0.0000, 0.0000, 0.0000)
Te (0.5000, 0.5000, 0.0000)
As (0.0972, 0.5972, 0.5000)
As (0.4028, 0.0972, 0.5000)
As (0.5972, 0.9028, 0.5000)
As (0.9028, 0.4028, 0.5000)

***

Entry from Alexandria via LeMat-Bulk: crystalline CsNaHgTe at its relaxed geometry (PBE).

Computed properties:
The total DFT energy (no corrections) comes out at -2.12 eV per atom.

Unit cell a=5.3515 b=5.3515 c=20.0456 alpha=90.00 beta=90.00 gamma=120.00
Atoms (fractional coordinates):
Cs (0.0000, 0.0000, 0.0000)
Cs (0.3333, 0.6667, 0.6667)
Cs (0.6667, 0.3333, 0.3333)
Na (0.0000, 0.0000, 0.5204)
Na (0.3333, 0.6667, 0.1870)
Na (0.6667, 0.3333, 0.8537)
Hg (0.0000, 0.0000, 0.7811)
Hg (0.3333, 0.6667, 0.4478)
Hg (0.6667, 0.3333, 0.1145)
Te (0.0000, 0.0000, 0.2117)
Te (0.3333, 0.6667, 0.8783)
Te (0.6667, 0.3333, 0.5450)

***

Entry from Alexandria via LeMat-Bulk: crystalline Zr2TiCdB at its relaxed geometry (PBE).

Computed properties:
Its formation energy from the elements is -1.19 eV per formula unit.

Unit cell a=4.6593 b=4.6593 c=4.3796 alpha=90.00 beta=90.00 gamma=90.00
Atoms (fractional coordinates):
Zr (0.0000, 0.5000, 0.0000)
Zr (0.5000, 0.0000, 0.0000)
Ti (0.0000, 0.0000, 0.5000)
Cd (0.5000, 0.5000, 0.5000)
B (0.0000, 0.0000, 0.0000)

***

Entry from Alexandria via LeMat-Bulk: crystalline NiSe2 at its relaxed geometry (PBE).

Computed properties:
The total DFT energy (no corrections) comes out at -4.19 eV per atom.

Unit cell a=6.0332 b=6.0332 c=6.0332 alpha=90.00 beta=90.00 gamma=90.00
Atoms (fractional coordinates):
Ni (0.0000, 0.0000, 0.0000)
Ni (0.0000, 0.5000, 0.5000)
Ni (0.5000, 0.0000, 0.5000)
Ni (0.5000, 0.5000, 0.0000)
Se (0.2500, 0.2500, 0.2500)
Se (0.2500, 0.2500, 0.7500)
Se (0.2500, 0.7500, 0.2500)
Se (0.2500, 0.7500, 0.7500)
Se (0.7500, 0.2500, 0.2500)
Se (0.7500, 0.2500, 0.7500)
Se (0.7500, 0.7500, 0.2500)
Se (0.7500, 0.7500, 0.7500)

***

Entry from Alexandria via LeMat-Bulk: crystalline Pm5Sm2In at its relaxed geometry (PBE).

Computed properties:
Its formation energy from the elements is -0.91 eV per formula unit.

Unit cell a=4.9966 b=4.9966 c=20.6860 alpha=90.00 beta=90.00 gamma=90.00
Atoms (fractional coordinates):
Pm (0.0000, 0.0000, 0.0000)
Pm (0.0000, 0.5000, 0.1212)
Pm (0.0000, 0.5000, 0.3788)
Pm (0.0000, 0.5000, 0.6212)
Pm (0.0000, 0.5000, 0.8788)
Pm (0.5000, 0.0000, 0.1212)
Pm (0.5000, 0.0000, 0.3788)
Pm (0.5000, 0.0000, 0.6212)
Pm (0.5000, 0.0000, 0.8788)
Pm (0.5000, 0.5000, 0.5000)
Sm (0.0000, 0.0000, 0.2475)
Sm (0.0000, 0.0000, 0.7525)
Sm (0.5000, 0.5000, 0.2525)
Sm (0.5000, 0.5000, 0.7475)
In (0.0000, 0.0000, 0.5000)
In (0.5000, 0.5000, 0.0000)

***

Entry from Alexandria via LeMat-Bulk: crystalline BaCdRh3 at its relaxed geometry (PBE).

Computed properties:
Its formation energy from the elements is 3.71 eV per formula unit.

Unit cell a=5.0219 b=5.0219 c=5.0219 alpha=90.00 beta=90.00 gamma=90.00
Atoms (fractional coordinates):
Ba (0.0000, 0.0000, 0.0000)
Cd (0.5000, 0.5000, 0.5000)
Rh (0.0000, 0.5000, 0.5000)
Rh (0.5000, 0.0000, 0.5000)
Rh (0.5000, 0.5000, 0.0000)

***

Entry from Alexandria via LeMat-Bulk: crystalline Rb2ZnSeCl6 at its relaxed geometry (PBE).

Computed properties:
The total DFT energy (no corrections) comes out at -2.78 eV per atom.

Unit cell a=7.0941 b=7.0941 c=7.0941 alpha=114.26 beta=114.26 gamma=100.28
Atoms (fractional coordinates):
Rb (0.2500, 0.7500, 0.5000)
Rb (0.7500, 0.2500, 0.5000)
Zn (0.0000, 0.0000, 0.0000)
Se (0.5000, 0.5000, 0.0000)
Cl (0.2295, 0.2295, 0.4590)
Cl (0.2295, 0.7705, 0.0000)
Cl (0.2504, 0.2504, 0.0000)
Cl (0.7496, 0.7496, 0.0000)
Cl (0.7705, 0.2295, 0.0000)
Cl (0.7705, 0.7705, 0.5410)

***

Entry from Alexandria via LeMat-Bulk: crystalline Ca2RuN at its relaxed geometry (PBE).

Computed properties:
The total DFT energy (no corrections) comes out at -5.79 eV per atom.

Unit cell a=9.7957 b=9.7957 c=3.8148 alpha=90.00 beta=90.00 gamma=90.00
Atoms (fractional coordinates):
Ca (0.0587, 0.2500, 0.1250)
Ca (0.2500, 0.5587, 0.3750)
Ca (0.2500, 0.9413, 0.8750)
Ca (0.4413, 0.2500, 0.6250)
Ca (0.5587, 0.7500, 0.6250)
Ca (0.7500, 0.0587, 0.8750)
Ca (0.7500, 0.4413, 0.3750)
Ca (0.9413, 0.7500, 0.1250)
Ru (0.0000, 0.0000, 0.5000)
Ru (0.0000, 0.5000, 0.7500)
Ru (0.5000, 0.0000, 0.2500)
Ru (0.5000, 0.5000, 0.0000)
N (0.0000, 0.0000, 0.0000)
N (0.0000, 0.5000, 0.2500)
N (0.5000, 0.0000, 0.7500)
N (0.5000, 0.5000, 0.5000)

***

Entry from Alexandria via LeMat-Bulk: crystalline NaZrCl5 at its relaxed geometry (PBE).

Computed properties:
The total DFT energy (no corrections) comes out at -4.48 eV per atom.

Unit cell a=7.0398 b=7.0398 c=9.9364 alpha=110.56 beta=110.56 gamma=71.01
Atoms (fractional coordinates):
Na (0.0275, 0.9725, 0.7500)
Na (0.9725, 0.0275, 0.2500)
Zr (0.5000, 0.5000, 0.0000)
Zr (0.5000, 0.5000, 0.5000)
Cl (0.1614, 0.7307, 0.0288)
Cl (0.2032, 0.3388, 0.3695)
Cl (0.2693, 0.8386, 0.4712)
Cl (0.3388, 0.2032, 0.8695)
Cl (0.4051, 0.5949, 0.7500)
Cl (0.5949, 0.4051, 0.2500)
Cl (0.6612, 0.7968, 0.1305)
Cl (0.7307, 0.1614, 0.5288)
Cl (0.7968, 0.6612, 0.6305)
Cl (0.8386, 0.2693, 0.9712)

***

Entry from Alexandria via LeMat-Bulk: crystalline ZrScP at its relaxed geometry (PBE).

Computed properties:
Its formation energy from the elements is -2.43 eV per formula unit.

Unit cell a=6.2184 b=6.2184 c=6.2184 alpha=90.00 beta=90.00 gamma=90.00
Atoms (fractional coordinates):
Zr (0.0000, 0.0000, 0.0000)
Zr (0.0000, 0.5000, 0.5000)
Zr (0.5000, 0.0000, 0.5000)
Zr (0.5000, 0.5000, 0.0000)
Sc (0.0000, 0.0000, 0.5000)
Sc (0.0000, 0.5000, 0.0000)
Sc (0.5000, 0.0000, 0.0000)
Sc (0.5000, 0.5000, 0.5000)
P (0.2500, 0.2500, 0.2500)
P (0.2500, 0.7500, 0.7500)
P (0.7500, 0.2500, 0.7500)
P (0.7500, 0.7500, 0.2500)

***

Entry from Alexandria via LeMat-Bulk: crystalline CaZnNO2 at its relaxed geometry (PBE).

Computed properties:
The total DFT energy (no corrections) comes out at -3.88 eV per atom.

Unit cell a=4.3797 b=4.3797 c=4.5812 alpha=90.00 beta=90.00 gamma=90.00
Atoms (fractional coordinates):
Ca (0.0000, 0.0000, 0.0000)
Zn (0.5000, 0.5000, 0.5000)
N (0.0000, 0.0000, 0.5000)
O (0.0000, 0.5000, 0.0000)
O (0.5000, 0.0000, 0.0000)